This record from Alexandria describes an optimized crystal structure of Sm4Rh. The functional is PBE.

Cell: 5.528 5.528 5.528 Å, 90.00 90.00 90.00°
Space group Pm-3m (No. 221)
Unique sites:
Sm (0.000, 0.000, 0.000) x1
Sm (0.000, 0.500, 0.500) x3
Rh (0.500, 0.500, 0.500) x1

Output
**Offset from the most stable computed form**: 3.51 kcal/mol of atoms
**Energy of formation**: -77 kJ/mol of formula units



This record from Alexandria describes an optimized crystal structure of DyAsH. The functional is PBE.

Cell: 3.150 3.150 10.249 Å, 90.00 90.00 90.00°
Space group I4mm (No. 107)
Unique sites:
Dy (0.000, 0.000, 0.000) x2
As (0.000, 0.000, 0.290) x2
H (0.000, 0.000, 0.566) x2

Output
**Offset from the most stable computed form**: 9.02 kcal/mol of atoms



This record from Alexandria describes an optimized crystal structure of Li4Y2Re. The functional is PBE.

Cell: 4.601 4.601 15.451 Å, 90.00 90.00 90.00°
Space group I4/mmm (No. 139)
Unique sites:
Li (0.000, 0.000, 0.172) x4
Li (0.000, 0.500, 0.000) x4
Y (0.000, 0.000, 0.387) x4
Re (0.000, 0.000, 0.000) x2

Output
**Energy of formation**: 502 kJ/mol of formula units



This record from Alexandria describes an optimized crystal structure of AcPr2Nd2. The functional is PBE.

Cell: 4.378 4.378 19.484 Å, 90.00 90.00 90.00°
Space group I4/mmm (No. 139)
Unique sites:
Ac (0.000, 0.000, 0.000) x2
Pr (0.000, 0.000, 0.389) x4
Nd (0.000, 0.000, 0.201) x4

Output
**Offset from the most stable computed form**: 1.38 kcal/mol of atoms
**Energy of formation**: 49 kJ/mol of formula units